DFT (PBE) results for an optimized crystal structure of V3AgRh.

```
data_V3AgRh
_cell_length_a 4.5591
_cell_length_b 4.5591
_cell_length_c 4.5591
_cell_angle_alpha 90.00
_cell_angle_beta 90.00
_cell_angle_gamma 90.00
_symmetry_space_group_name_H-M 'P m -3 m'
_symmetry_Int_Tables_number 221
_symmetry_space_group_name_Hall '-P 4 2 3'
loop_
_atom_site_label
_atom_site_fract_x
_atom_site_fract_y
_atom_site_fract_z
V1 0.0000 0.0000 0.5000
Ag1 0.5000 0.5000 0.5000
Rh1 0.0000 0.0000 0.0000
```

energy relative to the lowest polymorph listed for this composition = 0.0 meV/atom
size of the total moment = 0.0019 μB/atom
formation enthalpy at 0 K = 1.053 eV per atom
DFT total energy = -6.46 eV per atom


DFT (PBE) results for an optimized crystal structure of VAg3Rh.

```
data_VAg3Rh
_cell_length_a 4.8188
_cell_length_b 4.8188
_cell_length_c 4.8188
_cell_angle_alpha 90.00
_cell_angle_beta 90.00
_cell_angle_gamma 90.00
_symmetry_space_group_name_H-M 'P m -3 m'
_symmetry_Int_Tables_number 221
_symmetry_space_group_name_Hall '-P 4 2 3'
loop_
_atom_site_label
_atom_site_fract_x
_atom_site_fract_y
_atom_site_fract_z
V1 0.0000 0.0000 0.0000
Ag1 0.0000 0.0000 0.5000
Rh1 0.5000 0.5000 0.5000
```

energy relative to the lowest polymorph listed for this composition = 204.3 meV/atom
size of the total moment = 0.7652 μB/atom
formation enthalpy at 0 K = 1.544 eV per atom
DFT total energy = -3.46 eV per atom


DFT (PBE) results for an optimized crystal structure of V2AgRh4.

```
data_V2AgRh4
_cell_length_a 4.7778
_cell_length_b 4.7778
_cell_length_c 11.9681
_cell_angle_alpha 90.00
_cell_angle_beta 90.00
_cell_angle_gamma 90.00
_symmetry_space_group_name_H-M 'I 4/m m m'
_symmetry_Int_Tables_number 139
_symmetry_space_group_name_Hall '-I 4 2'
loop_
_atom_site_label
_atom_site_fract_x
_atom_site_fract_y
_atom_site_fract_z
V1 0.0000 0.0000 0.1070
Ag1 0.0000 0.0000 0.5000
Rh1 0.0000 0.0000 0.2795
Rh2 0.0000 0.5000 0.0000
```

size of the total moment = 0.1613 μB/atom
formation enthalpy at 0 K = 1.033 eV per atom
DFT total energy = -6.18 eV per atom


DFT (PBE) results for an optimized crystal structure of VAg3Rh.

```
data_VAg3Rh
_cell_length_a 4.9761
_cell_length_b 4.9761
_cell_length_c 4.9761
_cell_angle_alpha 90.00
_cell_angle_beta 90.00
_cell_angle_gamma 90.00
_symmetry_space_group_name_H-M 'P m -3 m'
_symmetry_Int_Tables_number 221
_symmetry_space_group_name_Hall '-P 4 2 3'
loop_
_atom_site_label
_atom_site_fract_x
_atom_site_fract_y
_atom_site_fract_z
V1 0.0000 0.0000 0.0000
Ag1 0.0000 0.5000 0.5000
Rh1 0.5000 0.5000 0.5000
```

energy relative to the lowest polymorph listed for this composition = 0.0 meV/atom
size of the total moment = 0.5830 μB/atom
formation enthalpy at 0 K = 1.339 eV per atom
DFT total energy = -3.67 eV per atom


DFT (PBE) results for an optimized crystal structure of VAgRh2.

```
data_VAgRh2
_cell_length_a 6.8719
_cell_length_b 6.8719
_cell_length_c 5.4932
_cell_angle_alpha 90.00
_cell_angle_beta 90.00
_cell_angle_gamma 90.00
_symmetry_space_group_name_H-M 'I -4 2 d'
_symmetry_Int_Tables_number 122
_symmetry_space_group_name_Hall 'I -4 2bw'
loop_
_atom_site_label
_atom_site_fract_x
_atom_site_fract_y
_atom_site_fract_z
V1 0.0000 0.0000 0.0000
Ag1 0.0000 0.0000 0.5000
Rh1 0.2035 0.2500 0.1250
```

size of the total moment = 0.0000 μB/atom
formation enthalpy at 0 K = 0.146 eV per atom
DFT total energy = -6.52 eV per atom


DFT (PBE) results for an optimized crystal structure of VAgRh2.

```
data_VAgRh2
_cell_length_a 3.0103
_cell_length_b 3.0103
_cell_length_c 6.6688
_cell_angle_alpha 90.00
_cell_angle_beta 90.00
_cell_angle_gamma 90.00
_symmetry_space_group_name_H-M 'P 4/m m m'
_symmetry_Int_Tables_number 123
_symmetry_space_group_name_Hall '-P 4 2'
loop_
_atom_site_label
_atom_site_fract_x
_atom_site_fract_y
_atom_site_fract_z
V1 0.0000 0.0000 0.0000
Ag1 0.0000 0.0000 0.5000
Rh1 0.5000 0.5000 0.2107
```

size of the total moment = 0.0008 μB/atom
formation enthalpy at 0 K = -0.142 eV per atom
DFT total energy = -6.81 eV per atom


DFT (PBE) results for an optimized crystal structure of VZnAg2Rh.

```
data_VZnAg2Rh
_cell_length_a 5.1146
_cell_length_b 5.1146
_cell_length_c 4.3968
_cell_angle_alpha 90.00
_cell_angle_beta 90.00
_cell_angle_gamma 90.00
_symmetry_space_group_name_H-M 'P 4/m m m'
_symmetry_Int_Tables_number 123
_symmetry_space_group_name_Hall '-P 4 2'
loop_
_atom_site_label
_atom_site_fract_x
_atom_site_fract_y
_atom_site_fract_z
V1 0.0000 0.0000 0.0000
Zn1 0.5000 0.5000 0.0000
Ag1 0.0000 0.5000 0.5000
Rh1 0.0000 0.0000 0.5000
```

size of the total moment = 0.3944 μB/atom
formation enthalpy at 0 K = 0.876 eV per atom
DFT total energy = -3.81 eV per atom


DFT (PBE) results for an optimized crystal structure of AgRhW2.

```
data_AgRhW2
_cell_length_a 3.4756
_cell_length_b 4.2606
_cell_length_c 8.6913
_cell_angle_alpha 90.00
_cell_angle_beta 90.00
_cell_angle_gamma 90.00
_symmetry_space_group_name_H-M 'C m m 2'
_symmetry_Int_Tables_number 35
_symmetry_space_group_name_Hall 'C 2 -2'
loop_
_atom_site_label
_atom_site_fract_x
_atom_site_fract_y
_atom_site_fract_z
Ag1 0.0000 0.0000 0.0000
Rh1 0.0000 0.5000 0.2611
W1 0.0000 0.0000 0.4830
W2 0.0000 0.5000 0.7348
```

energy relative to the lowest polymorph listed for this composition = 0.0 meV/atom
size of the total moment = 0.0000 μB/atom
formation enthalpy at 0 K = 0.213 eV per atom
DFT total energy = -8.81 eV per atom


DFT (PBE) results for an optimized crystal structure of AgRhW.

```
data_AgRhW
_cell_length_a 2.8061
_cell_length_b 2.8061
_cell_length_c 7.0671
_cell_angle_alpha 90.00
_cell_angle_beta 90.00
_cell_angle_gamma 120.00
_symmetry_space_group_name_H-M 'P 3 m 1'
_symmetry_Int_Tables_number 156
_symmetry_space_group_name_Hall 'P 3 -2"'
loop_
_atom_site_label
_atom_site_fract_x
_atom_site_fract_y
_atom_site_fract_z
Ag1 0.0000 0.0000 0.0000
Rh1 0.6667 0.3333 0.3482
W1 0.3333 0.6667 0.6441
```

energy relative to the lowest polymorph listed for this composition = 0.0 meV/atom
size of the total moment = 0.0000 μB/atom
formation enthalpy at 0 K = 0.172 eV per atom
DFT total energy = -7.55 eV per atom


DFT (PBE) results for an optimized crystal structure of AgRhW2.

```
data_AgRhW2
_cell_length_a 3.8594
_cell_length_b 3.8594
_cell_length_c 8.4463
_cell_angle_alpha 90.00
_cell_angle_beta 90.00
_cell_angle_gamma 90.00
_symmetry_space_group_name_H-M 'I 4/m m m'
_symmetry_Int_Tables_number 139
_symmetry_space_group_name_Hall '-I 4 2'
loop_
_atom_site_label
_atom_site_fract_x
_atom_site_fract_y
_atom_site_fract_z
Ag1 0.0000 0.0000 0.0000
Rh1 0.0000 0.0000 0.5000
W1 0.0000 0.5000 0.2500
```

energy relative to the lowest polymorph listed for this composition = 187.7 meV/atom
size of the total moment = 0.0000 μB/atom
formation enthalpy at 0 K = 0.401 eV per atom
DFT total energy = -8.63 eV per atom


DFT (PBE) results for an optimized crystal structure of AgRh3W.

```
data_AgRh3W
_cell_length_a 4.6970
_cell_length_b 4.6970
_cell_length_c 4.6970
_cell_angle_alpha 90.00
_cell_angle_beta 90.00
_cell_angle_gamma 90.00
_symmetry_space_group_name_H-M 'P m -3 m'
_symmetry_Int_Tables_number 221
_symmetry_space_group_name_Hall '-P 4 2 3'
loop_
_atom_site_label
_atom_site_fract_x
_atom_site_fract_y
_atom_site_fract_z
Ag1 0.0000 0.0000 0.0000
Rh1 0.0000 0.5000 0.5000
W1 0.5000 0.5000 0.5000
```

energy relative to the lowest polymorph listed for this composition = 0.0 meV/atom
size of the total moment = 0.0000 μB/atom
formation enthalpy at 0 K = 1.040 eV per atom
DFT total energy = -6.53 eV per atom


DFT (PBE) results for an optimized crystal structure of AgRhW2.

```
data_AgRhW2
_cell_length_a 6.3467
_cell_length_b 6.3467
_cell_length_c 6.3467
_cell_angle_alpha 90.00
_cell_angle_beta 90.00
_cell_angle_gamma 90.00
_symmetry_space_group_name_H-M 'F -4 3 m'
_symmetry_Int_Tables_number 216
_symmetry_space_group_name_Hall 'F -4 2 3'
loop_
_atom_site_label
_atom_site_fract_x
_atom_site_fract_y
_atom_site_fract_z
Ag1 0.0000 0.0000 0.0000
Rh1 0.2500 0.2500 0.2500
W1 0.0000 0.0000 0.5000
W2 0.2500 0.2500 0.7500
```

energy relative to the lowest polymorph listed for this composition = 282.7 meV/atom
size of the total moment = 0.0000 μB/atom
formation enthalpy at 0 K = 0.496 eV per atom
DFT total energy = -8.53 eV per atom


Question: The lowest formation enthalpy at 0 K belongs to which entry?
Answer: number 6


Question: The highest size of the total moment belongs to which entry?
Answer: number 2


Repeat the twelfth record exactly.
DFT (PBE) results for an optimized crystal structure of AgRhW2.

```
data_AgRhW2
_cell_length_a 6.3467
_cell_length_b 6.3467
_cell_length_c 6.3467
_cell_angle_alpha 90.00
_cell_angle_beta 90.00
_cell_angle_gamma 90.00
_symmetry_space_group_name_H-M 'F -4 3 m'
_symmetry_Int_Tables_number 216
_symmetry_space_group_name_Hall 'F -4 2 3'
loop_
_atom_site_label
_atom_site_fract_x
_atom_site_fract_y
_atom_site_fract_z
Ag1 0.0000 0.0000 0.0000
Rh1 0.2500 0.2500 0.2500
W1 0.0000 0.0000 0.5000
W2 0.2500 0.2500 0.7500
```

energy relative to the lowest polymorph listed for this composition = 282.7 meV/atom
size of the total moment = 0.0000 μB/atom
formation enthalpy at 0 K = 0.496 eV per atom
DFT total energy = -8.53 eV per atom